(1)
# CaNi2HIr, relaxed, DFT GGA-PBE
# - energy (eV/cell) = -20.99
# - calculated volume (Å³ per atom) = 22.7
data_CaNi2HIr
_cell_length_a 4.4927
_cell_length_b 4.4927
_cell_length_c 5.6346
_cell_angle_alpha 90.00
_cell_angle_beta 90.00
_cell_angle_gamma 90.00
_symmetry_space_group_name_H-M 'P 4/m m m'
_symmetry_Int_Tables_number 123
_symmetry_space_group_name_Hall '-P 4 2'
loop_
_atom_site_label
_atom_site_fract_x
_atom_site_fract_y
_atom_site_fract_z
Ca1 0.0000 0.0000 0.0000
Ni1 0.0000 0.5000 0.5000
H1 0.5000 0.5000 0.0000
Ir1 0.0000 0.0000 0.5000

(2)
# La2PmHoEr2, relaxed, DFT GGA-PBE
# - energy of formation (eV/f.u.) = 0.45
# - energy (eV/cell) = -55.73
# - calculated volume (Å³ per atom) = 33.5
data_La2PmHoEr2
_cell_length_a 7.0711
_cell_length_b 5.7153
_cell_length_c 9.9416
_cell_angle_alpha 90.00
_cell_angle_beta 90.00
_cell_angle_gamma 90.00
_symmetry_space_group_name_H-M 'P m m a'
_symmetry_Int_Tables_number 51
loop_
_symmetry_equiv_pos_as_xyz
'x,y,z'
'-x,-y,-z'
'-x+1/2,-y,z'
'x+1/2,y,-z'
'x+1/2,-y,-z'
'-x+1/2,y,z'
'-x,y,-z'
'x,-y,z'
loop_
_atom_site_label
_atom_site_fract_x
_atom_site_fract_y
_atom_site_fract_z
La1 0.0000 0.0000 0.0000
La2 0.2500 0.5000 0.1705
Pm1 0.0000 0.5000 0.5000
Ho1 0.2500 0.0000 0.6631
Er1 0.2500 0.0000 0.3351
Er2 0.2500 0.5000 0.8325

(3)
# MnTlAu, relaxed, DFT GGA-PBE
# - energy of formation (eV/f.u.) = 0.59
# - energy (eV/cell) = -28.44
# - calculated volume (Å³ per atom) = 20.4
data_MnTlAu
_cell_length_a 3.2331
_cell_length_b 3.2331
_cell_length_c 11.7339
_cell_angle_alpha 90.00
_cell_angle_beta 90.00
_cell_angle_gamma 90.00
_symmetry_space_group_name_H-M 'I 4 m m'
_symmetry_Int_Tables_number 107
_symmetry_space_group_name_Hall 'I 4 -2'
loop_
_atom_site_label
_atom_site_fract_x
_atom_site_fract_y
_atom_site_fract_z
Mn1 0.0000 0.0000 0.0000
Tl1 0.0000 0.0000 0.6822
Au1 0.0000 0.0000 0.3737

(4)
# CeGdO, relaxed, DFT GGA-PBE
# - energy (eV/cell) = -30.11
# - uncorrected formation energy (eV/atom) = -1.714
# - calculated volume (Å³ per atom) = 21.9
data_CeGdO
_cell_length_a 3.5722
_cell_length_b 3.5722
_cell_length_c 5.9512
_cell_angle_alpha 90.00
_cell_angle_beta 90.00
_cell_angle_gamma 120.00
_symmetry_space_group_name_H-M 'P 3 m 1'
_symmetry_Int_Tables_number 156
loop_
_symmetry_equiv_pos_as_xyz
'x,y,z'
'-y,x-y,z'
'-x+y,-x,z'
'-y,-x,z'
'-x+y,y,z'
'x,x-y,z'
loop_
_atom_site_label
_atom_site_fract_x
_atom_site_fract_y
_atom_site_fract_z
Ce1 0.0000 0.0000 0.0000
Gd1 0.3333 0.6667 0.4651
O1 0.6667 0.3333 0.2433

(5)
# Ca6ZnPd3, relaxed, DFT GGA-PBE
# - energy of formation (eV/f.u.) = -4.64
# - energy (eV/cell) = -67.01
# - calculated volume (Å³ per atom) = 28.2
data_Ca6ZnPd3
_cell_length_a 10.7693
_cell_length_b 4.3222
_cell_length_c 12.9647
_cell_angle_alpha 90.00
_cell_angle_beta 111.00
_cell_angle_gamma 90.00
_symmetry_space_group_name_H-M 'P 1 21/m 1'
_symmetry_Int_Tables_number 11
loop_
_symmetry_equiv_pos_as_xyz
'x,y,z'
'-x,-y,-z'
'-x,y+1/2,-z'
'x,-y+1/2,z'
loop_
_atom_site_label
_atom_site_fract_x
_atom_site_fract_y
_atom_site_fract_z
Ca1 0.0224 0.2500 0.3910
Ca2 0.0709 0.2500 0.9082
Ca3 0.2432 0.7500 0.3257
Ca4 0.3376 0.7500 0.0935
Ca5 0.3420 0.7500 0.8040
Ca6 0.3894 0.2500 0.5735
Zn1 0.4127 0.2500 0.2813
Pd1 0.1493 0.2500 0.1625
Pd2 0.1974 0.7500 0.5343
Pd3 0.4052 0.2500 0.9684

(6)
# PaHF, relaxed, DFT GGA-PBE
# - energy (eV/cell) = -300.78
# - calculated volume (Å³ per atom) = 13.9
data_PaHF
_cell_length_a 6.2697
_cell_length_b 10.0242
_cell_length_c 10.6418
_cell_angle_alpha 90.00
_cell_angle_beta 90.00
_cell_angle_gamma 90.00
_symmetry_space_group_name_H-M 'F d d d'
_symmetry_Int_Tables_number 70
loop_
_symmetry_equiv_pos_as_xyz
'x,y,z'
'-x,-y,-z'
'-x+1/4,-y+1/4,z'
'x+1/4,y+1/4,-z'
'x,-y+1/4,-z+1/4'
'-x,y+1/4,z+1/4'
'-x+1/4,y,-z+1/4'
'x+1/4,-y,z+1/4'
'x,y+1/2,z+1/2'
'-x,-y+1/2,-z+1/2'
'-x+1/4,-y+3/4,z+1/2'
'x+1/4,y+3/4,-z+1/2'
'x,-y+3/4,-z+3/4'
'-x,y+3/4,z+3/4'
'-x+1/4,y+1/2,-z+3/4'
'x+1/4,-y+1/2,z+3/4'
'x+1/2,y,z+1/2'
'-x+1/2,-y,-z+1/2'
'-x+3/4,-y+1/4,z+1/2'
'x+3/4,y+1/4,-z+1/2'
'x+1/2,-y+1/4,-z+3/4'
'-x+1/2,y+1/4,z+3/4'
'-x+3/4,y,-z+3/4'
'x+3/4,-y,z+3/4'
'x+1/2,y+1/2,z'
'-x+1/2,-y+1/2,-z'
'-x+3/4,-y+3/4,z'
'x+3/4,y+3/4,-z'
'x+1/2,-y+3/4,-z+1/4'
'-x+1/2,y+3/4,z+1/4'
'-x+3/4,y+1/2,-z+1/4'
'x+3/4,-y+1/2,z+1/4'
loop_
_atom_site_label
_atom_site_fract_x
_atom_site_fract_y
_atom_site_fract_z
Pa1 0.1250 0.3139 0.1250
H1 0.1250 0.1250 0.0176
F1 0.0000 0.0000 0.5000